Density functional theory data (PBE) for a geometry-optimized RbTl3Ga3 structure.

Cell and atoms, written as POSCAR:
```
RbTl3Ga3
1.0
7.931 0.000 0.000
0.000 7.931 0.000
0.000 0.000 7.931
Rb Tl Ga
2 6 6
Direct
0.000 0.000 0.000 Rb
0.500 0.500 0.500 Rb
0.000 0.250 0.500 Tl
0.000 0.750 0.500 Tl
0.250 0.500 0.000 Tl
0.500 0.000 0.250 Tl
0.500 0.000 0.750 Tl
0.750 0.500 0.000 Tl
0.000 0.500 0.250 Ga
0.000 0.500 0.750 Ga
0.250 0.000 0.500 Ga
0.500 0.250 0.000 Ga
0.500 0.750 0.000 Ga
0.750 0.000 0.500 Ga
```

SG = No. 223
calculated formation energy = 121.5 meV/atom



Density functional theory data (PBE) for a geometry-optimized Er2BeCu structure.

Cell and atoms, written as POSCAR:
```
Er2BeCu
1.0
3.399 0.000 0.000
0.000 3.399 0.000
0.000 0.000 6.827
Er Be Cu
2 1 1
Direct
0.000 0.000 0.245 Er
0.000 0.000 0.755 Er
0.500 0.500 0.000 Be
0.500 0.500 0.500 Cu
```

SG = No. 123
energy above the lowest structure with this stoichiometry = 0.00 eV/f.u.
calculated formation energy = -100.1 meV/atom



Density functional theory data (PBE) for a geometry-optimized La4Tl2Co structure.

Cell and atoms, written as POSCAR:
```
La4Tl2Co
1.0
-2.605 2.605 8.357
2.605 -2.605 8.357
2.605 2.605 -8.357
La Tl Co
4 2 1
Direct
0.000 0.500 0.500 La
0.176 0.176 0.000 La
0.500 0.000 0.500 La
0.824 0.824 0.000 La
0.365 0.365 0.000 Tl
0.635 0.635 0.000 Tl
0.000 0.000 0.000 Co
```

SG = No. 139
energy above the lowest structure with this stoichiometry = 0.18 eV/f.u.
calculated formation energy = -251.2 meV/atom



Density functional theory data (PBE) for a geometry-optimized V2NiRh2 structure.

Cell and atoms, written as POSCAR:
```
V2NiRh2
1.0
7.196 0.000 0.000
0.000 7.196 0.000
0.000 0.000 2.743
V Ni Rh
4 2 4
Direct
0.152 0.348 0.000 V
0.348 0.848 0.000 V
0.652 0.152 0.000 V
0.848 0.652 0.000 V
0.000 0.000 0.000 Ni
0.500 0.500 0.000 Ni
0.146 0.646 0.500 Rh
0.354 0.146 0.500 Rh
0.646 0.854 0.500 Rh
0.854 0.354 0.500 Rh
```

SG = No. 127
calculated formation energy = -35.8 meV/atom



Density functional theory data (PBE) for a geometry-optimized TaPt2F structure.

Cell and atoms, written as POSCAR:
```
TaPt2F
1.0
0.000 3.132 3.132
3.132 0.000 3.132
3.132 3.132 0.000
Ta Pt F
1 2 1
Direct
0.000 0.000 0.000 Ta
0.250 0.250 0.250 Pt
0.750 0.750 0.750 Pt
0.500 0.500 0.500 F
```

SG = No. 225
energy above the lowest structure with this stoichiometry = 0.14 eV/f.u.
formation energy from raw total energies = -49 kJ/mol of atoms



Density functional theory data (PBE) for a geometry-optimized BaTe3Se structure.

Cell and atoms, written as POSCAR:
```
BaTe3Se
1.0
6.732 0.000 0.000
0.000 6.732 0.000
0.000 0.000 6.732
Ba Te Se
1 3 1
Direct
0.000 0.000 0.000 Ba
0.000 0.000 0.500 Te
0.000 0.500 0.000 Te
0.500 0.000 0.000 Te
0.500 0.500 0.500 Se
```

SG = No. 221
energy above the lowest structure with this stoichiometry = 5.48 eV/f.u.
formation energy from raw total energies = 55 kJ/mol of atoms



Density functional theory data (PBE) for a geometry-optimized La2Cu2Ru structure.

Cell and atoms, written as POSCAR:
```
La2Cu2Ru
1.0
5.488 -2.034 0.000
5.488 2.034 0.000
-5.423 0.000 10.314
La Cu Ru
4 4 2
Direct
0.069 0.069 0.364 La
0.211 0.211 0.123 La
0.789 0.789 0.877 La
0.931 0.931 0.636 La
0.379 0.379 0.415 Cu
0.486 0.486 0.104 Cu
0.514 0.514 0.896 Cu
0.621 0.621 0.585 Cu
0.276 0.276 0.701 Ru
0.724 0.724 0.299 Ru
```

SG = No. 12
energy above the lowest structure with this stoichiometry = 0.00 eV/f.u.
calculated formation energy = -176.0 meV/atom



Density functional theory data (PBE) for a geometry-optimized CoSbPb2 structure.

Cell and atoms, written as POSCAR:
```
CoSbPb2
1.0
4.619 0.000 0.000
0.000 4.619 0.000
0.000 0.000 4.713
Co Sb Pb
1 1 2
Direct
0.000 0.000 0.000 Co
0.500 0.500 0.000 Sb
0.000 0.500 0.500 Pb
0.500 0.000 0.500 Pb
```

SG = No. 123
energy above the lowest structure with this stoichiometry = 1.66 eV/f.u.
formation energy from raw total energies = 53 kJ/mol of atoms



Density functional theory data (PBE) for a geometry-optimized MgCuTe structure.

Cell and atoms, written as POSCAR:
```
MgCuTe
1.0
6.658 -2.497 0.000
6.658 2.497 0.000
-0.023 0.000 4.178
Mg Cu Te
2 2 2
Direct
0.000 0.000 0.000 Mg
0.742 0.742 0.740 Mg
0.076 0.585 0.246 Cu
0.585 0.076 0.246 Cu
0.154 0.154 0.462 Te
0.427 0.427 0.760 Te
```

SG = No. 8
energy above the lowest structure with this stoichiometry = 0.02 eV/f.u.
formation energy from raw total energies = -29 kJ/mol of atoms



Density functional theory data (PBE) for a geometry-optimized GdThRePd structure.

Cell and atoms, written as POSCAR:
```
GdThRePd
1.0
0.000 3.546 3.546
3.546 0.000 3.546
3.546 3.546 0.000
Gd Th Re Pd
1 1 1 1
Direct
0.000 0.000 0.000 Gd
0.500 0.500 0.500 Th
0.750 0.750 0.750 Re
0.250 0.250 0.250 Pd
```

SG = No. 216
calculated formation energy = -270.9 meV/atom



Density functional theory data (PBE) for a geometry-optimized Sc2BeRh structure.

Cell and atoms, written as POSCAR:
```
Sc2BeRh
1.0
3.150 -3.155 0.000
3.150 3.155 0.000
0.000 0.000 3.331
Sc Be Rh
2 1 1
Direct
0.000 0.500 0.000 Sc
0.500 0.000 0.000 Sc
0.000 0.000 0.500 Be
0.500 0.500 0.500 Rh
```

SG = No. 65
calculated formation energy = -509.1 meV/atom



Density functional theory data (PBE) for a geometry-optimized Ce2GeSe structure.

Cell and atoms, written as POSCAR:
```
Ce2GeSe
1.0
-2.986 2.986 5.992
2.986 -2.986 5.992
2.986 2.986 -5.992
Ce Ge Se
4 2 2
Direct
0.124 0.374 0.750 Ce
0.374 0.124 0.250 Ce
0.626 0.876 0.750 Ce
0.876 0.626 0.250 Ce
0.125 0.875 0.250 Ge
0.875 0.125 0.750 Ge
0.375 0.625 0.750 Se
0.625 0.375 0.250 Se
```

SG = No. 141
energy above the lowest structure with this stoichiometry = 0.00 eV/f.u.
formation energy from raw total energies = -126 kJ/mol of atoms



Density functional theory data (PBE) for a geometry-optimized Pm3Pr2Nd8 structure.

Cell and atoms, written as POSCAR:
```
Pm3Pr2Nd8
1.0
6.712 -5.980 0.000
6.712 5.980 0.000
-2.548 0.000 5.750
Pm Pr Nd
3 2 8
Direct
0.000 0.000 0.000 Pm
0.244 0.756 0.500 Pm
0.756 0.244 0.500 Pm
0.285 0.285 0.160 Pr
0.715 0.715 0.840 Pr
0.087 0.572 0.828 Nd
0.152 0.152 0.556 Nd
0.428 0.913 0.172 Nd
0.449 0.449 0.721 Nd
0.551 0.551 0.279 Nd
0.572 0.087 0.828 Nd
0.848 0.848 0.444 Nd
0.913 0.428 0.172 Nd
```

SG = No. 12
energy above the lowest structure with this stoichiometry = 0.00 eV/f.u.
calculated formation energy = 150.5 meV/atom



Density functional theory data (PBE) for a geometry-optimized Rb2V2Cl structure.

Cell and atoms, written as POSCAR:
```
Rb2V2Cl
1.0
9.941 0.000 0.000
0.000 9.941 0.000
0.000 0.000 3.610
Rb V Cl
4 4 2
Direct
0.222 0.278 0.000 Rb
0.278 0.778 0.000 Rb
0.722 0.222 0.000 Rb
0.778 0.722 0.000 Rb
0.064 0.564 0.500 V
0.436 0.064 0.500 V
0.564 0.936 0.500 V
0.936 0.436 0.500 V
0.000 0.000 0.500 Cl
0.500 0.500 0.500 Cl
```

SG = No. 127
energy above the lowest structure with this stoichiometry = 0.00 eV/f.u.
formation energy from raw total energies = 59 kJ/mol of atoms



Density functional theory data (PBE) for a geometry-optimized RbHg3Pt structure.

Cell and atoms, written as POSCAR:
```
RbHg3Pt
1.0
9.927 0.000 0.000
0.000 7.159 0.000
-5.421 0.000 9.015
Rb Hg Pt
4 12 4
Direct
0.183 0.250 0.089 Rb
0.183 0.250 0.589 Rb
0.817 0.750 0.411 Rb
0.817 0.750 0.911 Rb
0.042 0.566 0.270 Hg
0.042 0.934 0.770 Hg
0.272 0.750 0.134 Hg
0.272 0.750 0.634 Hg
0.443 0.197 0.465 Hg
0.443 0.303 0.965 Hg
0.557 0.697 0.035 Hg
0.557 0.803 0.535 Hg
0.728 0.250 0.366 Hg
0.728 0.250 0.866 Hg
0.958 0.066 0.230 Hg
0.958 0.434 0.730 Hg
0.236 0.631 0.867 Pt
0.236 0.869 0.367 Pt
0.764 0.131 0.633 Pt
0.764 0.369 0.133 Pt
```

SG = No. 14
energy above the lowest structure with this stoichiometry = 0.72 eV/f.u.
calculated formation energy = -137.6 meV/atom



Density functional theory data (PBE) for a geometry-optimized Pr3Y3Tl structure.

Cell and atoms, written as POSCAR:
```
Pr3Y3Tl
1.0
9.607 0.000 0.000
-4.804 8.320 0.000
0.000 0.000 5.693
Pr Y Tl
6 6 2
Direct
0.107 0.631 0.250 Pr
0.369 0.476 0.250 Pr
0.476 0.107 0.750 Pr
0.524 0.893 0.250 Pr
0.631 0.524 0.750 Pr
0.893 0.369 0.750 Pr
0.060 0.823 0.750 Y
0.177 0.237 0.750 Y
0.237 0.060 0.250 Y
0.763 0.940 0.750 Y
0.823 0.763 0.250 Y
0.940 0.177 0.250 Y
0.333 0.667 0.750 Tl
0.667 0.333 0.250 Tl
```

SG = No. 176
calculated formation energy = -72.9 meV/atom



Density functional theory data (PBE) for a geometry-optimized NaZrTiF2 structure.

Cell and atoms, written as POSCAR:
```
NaZrTiF2
1.0
4.127 0.000 0.000
0.000 4.127 0.000
0.000 0.000 5.905
Na Zr Ti F
1 1 1 2
Direct
0.000 0.000 0.000 Na
0.500 0.500 0.000 Zr
0.500 0.500 0.500 Ti
0.000 0.500 0.500 F
0.500 0.000 0.500 F
```

SG = No. 123
formation energy from raw total energies = -83 kJ/mol of atoms



Density functional theory data (PBE) for a geometry-optimized Mg2IrOs structure.

Cell and atoms, written as POSCAR:
```
Mg2IrOs
1.0
2.731 -4.116 0.000
2.731 4.116 0.000
0.000 0.000 2.775
Mg Ir Os
2 1 1
Direct
0.000 0.500 0.000 Mg
0.500 0.000 0.000 Mg
0.000 0.000 0.500 Ir
0.500 0.500 0.500 Os
```

SG = No. 65
energy above the lowest structure with this stoichiometry = 0.64 eV/f.u.
calculated formation energy = 81.5 meV/atom



Density functional theory data (PBE) for a geometry-optimized Mg9Tl2Cd structure.

Cell and atoms, written as POSCAR:
```
Mg9Tl2Cd
1.0
4.493 0.000 0.000
0.000 4.493 0.000
0.000 0.000 13.547
Mg Tl Cd
9 2 1
Direct
0.000 0.000 0.000 Mg
0.000 0.000 0.330 Mg
0.000 0.000 0.670 Mg
0.000 0.500 0.162 Mg
0.000 0.500 0.500 Mg
0.000 0.500 0.838 Mg
0.500 0.000 0.162 Mg
0.500 0.000 0.500 Mg
0.500 0.000 0.838 Mg
0.500 0.500 0.331 Tl
0.500 0.500 0.669 Tl
0.500 0.500 0.000 Cd
```

SG = No. 123
calculated formation energy = -52.0 meV/atom



Density functional theory data (PBE) for a geometry-optimized LiTbGa2Pd structure.

Cell and atoms, written as POSCAR:
```
LiTbGa2Pd
1.0
-2.001 2.001 5.788
2.001 -2.001 5.788
2.001 2.001 -5.788
Li Tb Ga Pd
1 1 2 1
Direct
0.000 0.000 0.000 Li
0.750 0.250 0.500 Tb
0.138 0.638 0.500 Ga
0.362 0.862 0.500 Ga
0.500 0.500 0.000 Pd
```

SG = No. 119
calculated formation energy = -594.5 meV/atom



Looking at VASP energy for the records above, in order, we have -2.328 -4.337 -4.758 -7.780 -6.954 -2.395 -5.641 -4.115 -3.243 -10.056 -6.444 -6.301 -4.615 -3.796 -1.720 -5.230 -5.161 -5.738 -1.719 -4.153 eV per atom.
Looking at size of the total moment for the records above, in order, we have 0.00 0.00 0.00 0.00 0.00 6.00 0.00 1.45 0.00 7.02 0.00 2.94 0.00 0.98 0.00 0.01 3.03 0.00 0.00 0.00 μB per cell.